Entry 1:
This record from Alexandria describes an optimized crystal structure of ZnB2Os2. The functional is PBE-GGA.

POSCAR file:
```
ZnB2Os2
1.0
-4.048 -4.574 0.920
0.887 -1.951 -5.793
2.093 -1.674 0.884
B Os Zn
4 4 2
Direct
0.366 0.866 0.000
0.866 0.634 0.000
0.634 0.134 0.000
0.134 0.366 0.000
0.344 0.156 0.500
0.844 0.344 0.500
0.656 0.844 0.500
0.156 0.656 0.500
0.500 0.500 0.000
0.000 0.000 0.000
```

## Properties
Energy relative to the elements in eV/atom: 0.11
E_tot in eV/atom: -7.304

Entry 2:
This record from Alexandria describes an optimized crystal structure of Zr2BOs. The functional is PBE-GGA.

POSCAR file:
```
Zr2BOs
1.0
6.698 0.000 0.000
0.000 6.698 0.000
3.349 3.349 3.181
Os B Zr
2 2 4
Direct
0.750 0.250 0.500
0.000 0.000 0.000
0.500 0.500 0.000
0.250 0.750 0.500
0.875 0.838 0.750
0.588 0.125 0.250
0.375 0.412 0.750
0.162 0.625 0.250
```

## Properties
Energy relative to the elements in eV/atom: 0.39
E_tot in eV/atom: -8.363

Entry 3:
This record from Alexandria describes an optimized crystal structure of ZrB3Os. The functional is PBE-GGA.

POSCAR file:
```
ZrB3Os
1.0
-2.344 -2.835 1.800
-1.652 -0.938 -3.628
2.924 -2.802 -0.606
Zr B Os
1 3 1
Direct
0.000 0.000 0.000
0.000 0.500 0.000
0.000 0.000 0.500
0.500 0.000 0.000
0.500 0.500 0.500
```

## Properties
Energy relative to the elements in eV/atom: 2.31
Energy above the most stable polymorph in this dataset in meV per atom: 1841
E_tot in eV/atom: -5.657